[1]
A geometry-optimized TaAs2Cl structure. Source: the Alexandria database, functional GGA-PBE.

Structure (POSCAR):
```
TaAs2Cl
1.0
0.000 3.277 3.277
3.277 0.000 3.277
3.277 3.277 0.000
Ta As Cl
1 2 1
Direct
0.000 0.000 0.000 Ta
0.500 0.500 0.500 As
0.750 0.750 0.750 As
0.250 0.250 0.250 Cl
```

Properties
* E: -0.3993 Ry per atom
* excess energy over the best structure of this formula in the dataset: 262 kJ/mol of formula units
* formation energy (no corrections): 0.32 eV per atom
* magnetic moment: 0.0 μB per formula unit
* space-group type: F-43m (216)

---

[2]
A geometry-optimized SmTl3Bi2S6 structure. Source: the Alexandria database, functional GGA-PBE.

Structure (POSCAR):
```
SmTl3Bi2S6
1.0
3.590 -6.218 0.000
3.590 6.218 0.000
-2.393 0.000 7.459
Sm Tl Bi S
1 3 2 6
Direct
0.000 0.000 0.000 Sm
0.167 0.833 0.500 Tl
0.500 0.500 0.500 Tl
0.833 0.167 0.500 Tl
0.334 0.666 0.000 Bi
0.666 0.334 0.000 Bi
0.069 0.400 0.207 S
0.262 0.262 0.794 S
0.400 0.069 0.207 S
0.600 0.931 0.793 S
0.738 0.738 0.206 S
0.931 0.600 0.793 S
```

Properties
* E: -0.3281 Ry per atom
* formation energy (no corrections): -0.77 eV per atom
* magnetic moment: 0.0 μB per formula unit
* space-group type: C2/m (12)

---

Mass density (computed, Mg/m³): 8.64 6.85